First-principles (PBE) data for CaRe2Os after structural relaxation, as listed in the Alexandria database.

Geometry as CIF:
```
data_CaRe2Os
_chemical_formula_sum 'Ca1 Re2 Os1'
_space_group_name_H-M_alt 'P 4/m m m'
_space_group_IT_number 123
_space_group_name_Hall '-P 4 2'
_cell_length_a 3.248
_cell_length_b 3.248
_cell_length_c 7.173
_cell_angle_alpha 90.00
_cell_angle_beta 90.00
_cell_angle_gamma 90.00
loop_
_atom_site_label
_atom_site_fract_x
_atom_site_fract_y
_atom_site_fract_z
_atom_site_occupancy
Ca1 0.000 0.000 0.000 1
Re1 0.500 0.500 0.321 1
Os1 0.000 0.000 0.500 1
```

## Properties
density	13.222	g cm⁻³
VASP energy	-8.83	eV/atom
energy relative to the elements	0.700	eV/atom

---

First-principles (PBE) data for CaRe2Os after structural relaxation, as listed in the Alexandria database.

Geometry as CIF:
```
data_CaRe2Os
_chemical_formula_sum 'Ca1 Re2 Os1'
_space_group_name_H-M_alt 'P 4/m m m'
_space_group_IT_number 123
_space_group_name_Hall '-P 4 2'
_cell_length_a 3.901
_cell_length_b 3.901
_cell_length_c 4.410
_cell_angle_alpha 90.00
_cell_angle_beta 90.00
_cell_angle_gamma 90.00
loop_
_atom_site_label
_atom_site_fract_x
_atom_site_fract_y
_atom_site_fract_z
_atom_site_occupancy
Ca1 0.000 0.000 0.000 1
Re1 0.000 0.500 0.500 1
Os1 0.500 0.500 0.000 1
```

## Properties
density	14.918	g cm⁻³
VASP energy	-8.59	eV/atom
energy relative to the elements	0.942	eV/atom

---

First-principles (PBE) data for CaRe2Os after structural relaxation, as listed in the Alexandria database.

Geometry as CIF:
```
data_CaRe2Os
_chemical_formula_sum 'Ca2 Re4 Os2'
_space_group_name_H-M_alt 'I 4/m m m'
_space_group_IT_number 139
_space_group_name_Hall '-I 4 2'
_cell_length_a 3.874
_cell_length_b 3.874
_cell_length_c 8.927
_cell_angle_alpha 90.00
_cell_angle_beta 90.00
_cell_angle_gamma 90.00
loop_
_atom_site_label
_atom_site_fract_x
_atom_site_fract_y
_atom_site_fract_z
_atom_site_occupancy
Ca1 0.000 0.000 0.000 1
Re1 0.000 0.500 0.250 1
Os1 0.000 0.000 0.500 1
```

## Properties
density	14.943	g cm⁻³
VASP energy	-8.64	eV/atom
energy relative to the elements	0.896	eV/atom

---

First-principles (PBE) data for Ca2ReOs after structural relaxation, as listed in the Alexandria database.

Geometry as CIF:
```
data_Ca2ReOs
_chemical_formula_sum 'Ca8 Re4 Os4'
_space_group_name_H-M_alt 'I -4 2 d'
_space_group_IT_number 122
_space_group_name_Hall 'I -4 2bw'
_cell_length_a 8.155
_cell_length_b 8.155
_cell_length_c 5.222
_cell_angle_alpha 90.00
_cell_angle_beta 90.00
_cell_angle_gamma 90.00
loop_
_atom_site_label
_atom_site_fract_x
_atom_site_fract_y
_atom_site_fract_z
_atom_site_occupancy
Ca1 0.222 0.750 0.125 1
Re1 0.000 0.000 0.500 1
Os1 0.000 0.000 0.000 1
```

## Properties
density	8.733	g cm⁻³
VASP energy	-5.70	eV/atom
energy relative to the elements	1.216	eV/atom

---

First-principles (PBE) data for CaRe2Os2 after structural relaxation, as listed in the Alexandria database.

Geometry as CIF:
```
data_CaRe2Os2
_chemical_formula_sum 'Ca2 Re4 Os4'
_space_group_name_H-M_alt 'P 4/m b m'
_space_group_IT_number 127
_space_group_name_Hall '-P 4 2ab'
_cell_length_a 7.822
_cell_length_b 7.822
_cell_length_c 2.768
_cell_angle_alpha 90.00
_cell_angle_beta 90.00
_cell_angle_gamma 90.00
loop_
_atom_site_label
_atom_site_fract_x
_atom_site_fract_y
_atom_site_fract_z
_atom_site_occupancy
Ca1 0.000 0.000 0.000 1
Re1 0.166 0.334 0.500 1
Os1 0.124 0.624 0.000 1
```

## Properties
density	15.550	g cm⁻³
VASP energy	-9.65	eV/atom
energy relative to the elements	0.226	eV/atom

---

First-principles (PBE) data for CaReOs2 after structural relaxation, as listed in the Alexandria database.

Geometry as CIF:
```
data_CaReOs2
_chemical_formula_sum 'Ca3 Re3 Os6'
_space_group_name_H-M_alt 'R -3 m'
_space_group_IT_number 166
_space_group_name_Hall '-R 3 2"'
_cell_length_a 2.8335
_cell_length_b 2.8335
_cell_length_c 28.3541
_cell_angle_alpha 90.00
_cell_angle_beta 90.00
_cell_angle_gamma 120.00
loop_
_atom_site_label
_atom_site_fract_x
_atom_site_fract_y
_atom_site_fract_z
_atom_site_occupancy
Ca1 0.0000 0.0000 0.0000 1
Re1 0.0000 0.0000 0.5000 1
Os1 0.0000 0.0000 0.2420 1
```

## Properties
density	15.332	g cm⁻³
VASP energy	-8.72	eV/atom
energy relative to the elements	0.508	eV/atom

---

First-principles (PBE) data for CaReOs2 after structural relaxation, as listed in the Alexandria database.

Geometry as CIF:
```
data_CaReOs2
_chemical_formula_sum 'Ca2 Re2 Os4'
_space_group_name_H-M_alt 'C 1 2/m 1'
_space_group_IT_number 12
_cell_length_a 5.685
_cell_length_b 8.931
_cell_length_c 2.737
_cell_angle_alpha 90.00
_cell_angle_beta 111.08
_cell_angle_gamma 90.00
loop_
_space_group_symop_operation_xyz
'x,y,z'
'-x,-y,-z'
'-x,y,-z'
'x,-y,z'
'x+1/2,y+1/2,z'
'-x+1/2,-y+1/2,-z'
'-x+1/2,y+1/2,-z'
'x+1/2,-y+1/2,z'
loop_
_atom_site_label
_atom_site_fract_x
_atom_site_fract_y
_atom_site_fract_z
_atom_site_occupancy
Ca1 0.000 0.000 0.000 1
Re1 0.000 0.500 0.000 1
Os1 0.250 0.250 0.500 1
```

## Properties
density	15.539	g cm⁻³
VASP energy	-8.52	eV/atom
energy relative to the elements	0.705	eV/atom

---

First-principles (PBE) data for CaRe2Os after structural relaxation, as listed in the Alexandria database.

Geometry as CIF:
```
data_CaRe2Os
_chemical_formula_sum 'Ca2 Re4 Os2'
_space_group_name_H-M_alt 'I m m 2'
_space_group_IT_number 44
_cell_length_a 2.822
_cell_length_b 4.862
_cell_length_c 10.090
_cell_angle_alpha 90.00
_cell_angle_beta 90.00
_cell_angle_gamma 90.00
loop_
_space_group_symop_operation_xyz
'x,y,z'
'-x,-y,z'
'-x,y,z'
'x,-y,z'
'x+1/2,y+1/2,z+1/2'
'-x+1/2,-y+1/2,z+1/2'
'-x+1/2,y+1/2,z+1/2'
'x+1/2,-y+1/2,z+1/2'
loop_
_atom_site_label
_atom_site_fract_x
_atom_site_fract_y
_atom_site_fract_z
_atom_site_occupancy
Ca1 0.000 0.000 0.000 1
Re1 0.000 0.000 0.494 1
Re2 0.000 0.500 0.216 1
Os1 0.000 0.500 0.779 1
```

## Properties
density	14.458	g cm⁻³
VASP energy	-8.95	eV/atom
energy relative to the elements	0.586	eV/atom

---

First-principles (PBE) data for CaRe2Os after structural relaxation, as listed in the Alexandria database.

Geometry as CIF:
```
data_CaRe2Os
_chemical_formula_sum 'Ca2 Re4 Os2'
_space_group_name_H-M_alt 'C m m m'
_space_group_IT_number 65
_space_group_name_Hall '-C 2 2'
_cell_length_a 5.391
_cell_length_b 9.123
_cell_length_c 2.692
_cell_angle_alpha 90.00
_cell_angle_beta 90.00
_cell_angle_gamma 90.00
loop_
_atom_site_label
_atom_site_fract_x
_atom_site_fract_y
_atom_site_fract_z
_atom_site_occupancy
Ca1 0.000 0.000 0.000 1
Re1 0.250 0.250 0.500 1
Os1 0.000 0.500 0.000 1
```

## Properties
density	15.116	g cm⁻³
VASP energy	-8.75	eV/atom
energy relative to the elements	0.779	eV/atom

---

First-principles (PBE) data for CaReOs2 after structural relaxation, as listed in the Alexandria database.

Geometry as CIF:
```
data_CaReOs2
_chemical_formula_sum 'Ca1 Re1 Os2'
_space_group_name_H-M_alt 'P 4/m m m'
_space_group_IT_number 123
_space_group_name_Hall '-P 4 2'
_cell_length_a 4.640
_cell_length_b 4.640
_cell_length_c 3.019
_cell_angle_alpha 90.00
_cell_angle_beta 90.00
_cell_angle_gamma 90.00
loop_
_atom_site_label
_atom_site_fract_x
_atom_site_fract_y
_atom_site_fract_z
_atom_site_occupancy
Ca1 0.000 0.000 0.000 1
Re1 0.500 0.500 0.000 1
Os1 0.000 0.500 0.500 1
```

## Properties
density	15.500	g cm⁻³
VASP energy	-8.59	eV/atom
energy relative to the elements	0.636	eV/atom

---

First-principles (PBE) data for CaReOs2 after structural relaxation, as listed in the Alexandria database.

Geometry as CIF:
```
data_CaReOs2
_chemical_formula_sum 'Ca4 Re4 Os8'
_space_group_name_H-M_alt 'I -4 2 d'
_space_group_IT_number 122
_space_group_name_Hall 'I -4 2bw'
_cell_length_a 7.447
_cell_length_b 7.447
_cell_length_c 5.611
_cell_angle_alpha 90.00
_cell_angle_beta 90.00
_cell_angle_gamma 90.00
loop_
_atom_site_label
_atom_site_fract_x
_atom_site_fract_y
_atom_site_fract_z
_atom_site_occupancy
Ca1 0.000 0.000 0.000 1
Re1 0.000 0.000 0.500 1
Os1 0.192 0.250 0.625 1
```

## Properties
density	12.951	g cm⁻³
VASP energy	-8.39	eV/atom
energy relative to the elements	0.838	eV/atom

---

First-principles (PBE) data for CaRe2Os after structural relaxation, as listed in the Alexandria database.

Geometry as CIF:
```
data_CaRe2Os
_chemical_formula_sum 'Ca1 Re2 Os1'
_space_group_name_H-M_alt 'P 1 2/m 1'
_space_group_IT_number 10
_cell_length_a 2.752
_cell_length_b 4.612
_cell_length_c 5.265
_cell_angle_alpha 90.00
_cell_angle_beta 100.70
_cell_angle_gamma 90.00
loop_
_space_group_symop_operation_xyz
'x,y,z'
'-x,-y,-z'
'-x,y,-z'
'x,-y,z'
loop_
_atom_site_label
_atom_site_fract_x
_atom_site_fract_y
_atom_site_fract_z
_atom_site_occupancy
Ca1 0.000 0.000 0.000 1
Re1 0.265 0.500 0.746 1
Os1 0.500 0.000 0.500 1
```

## Properties
density	15.244	g cm⁻³
VASP energy	-8.86	eV/atom
energy relative to the elements	0.675	eV/atom